Record 1
# LaTh2CrN4, relaxed, DFT PBE
# * formation energy (no corrections): -1.1852 eV/atom
# * magnetic moment: 12.22 μB/cell
data_LaTh2CrN4
_chemical_formula_sum 'La4 Th8 Cr4 N16'
_cell_length_a 3.537
_cell_length_b 12.035
_cell_length_c 12.164
_cell_angle_alpha 90.00
_cell_angle_beta 90.00
_cell_angle_gamma 90.00
_space_group_name_H-M_alt 'C m c m'
_space_group_IT_number 63
_space_group_name_Hall '-C 2c 2'
loop_
_atom_site_label
_atom_site_type_symbol
_atom_site_fract_x
_atom_site_fract_y
_atom_site_fract_z
La1 La 0.000 0.099 0.250
Th1 Th 0.000 0.368 0.051
Cr1 Cr 0.000 0.166 0.750
N1 N 0.000 0.000 0.000
N2 N 0.000 0.270 0.628
N3 N 0.000 0.428 0.250

=====

Record 2
# LaThCrN4, relaxed, DFT PBE
# * formation energy (no corrections): -1.1243 eV/atom
# * magnetic moment: 0.89 μB/cell
data_LaThCrN4
_chemical_formula_sum 'La2 Th2 Cr2 N8'
_cell_length_a 5.874
_cell_length_b 5.506
_cell_length_c 6.994
_cell_angle_alpha 90.00
_cell_angle_beta 107.46
_cell_angle_gamma 90.00
_space_group_name_H-M_alt 'P 1 21/m 1'
_space_group_IT_number 11
loop_
_space_group_symop_operation_xyz
'x,y,z'
'-x,-y,-z'
'-x,y+1/2,-z'
'x,-y+1/2,z'
loop_
_atom_site_label
_atom_site_type_symbol
_atom_site_fract_x
_atom_site_fract_y
_atom_site_fract_z
La1 La 0.211 0.250 0.424
Th1 Th 0.275 0.250 0.945
Cr1 Cr 0.263 0.750 0.194
N1 N 0.072 0.750 0.351
N2 N 0.088 0.750 0.939
N3 N 0.461 0.504 0.233

=====

Record 3
# LaThCrN3, relaxed, DFT PBE
# * formation energy (no corrections): -1.1151 eV/atom
# * magnetic moment: 0.00 μB/cell
data_LaThCrN3
_chemical_formula_sum 'La2 Th2 Cr2 N6'
_cell_length_a 6.777
_cell_length_b 3.532
_cell_length_c 8.584
_cell_angle_alpha 90.00
_cell_angle_beta 99.43
_cell_angle_gamma 90.00
_space_group_name_H-M_alt 'P 1 21/m 1'
_space_group_IT_number 11
loop_
_space_group_symop_operation_xyz
'x,y,z'
'-x,-y,-z'
'-x,y+1/2,-z'
'x,-y+1/2,z'
loop_
_atom_site_label
_atom_site_type_symbol
_atom_site_fract_x
_atom_site_fract_y
_atom_site_fract_z
La1 La 0.214 0.250 0.213
Th1 Th 0.203 0.250 0.635
Cr1 Cr 0.408 0.750 0.926
N1 N 0.152 0.750 0.818
N2 N 0.157 0.750 0.424
N3 N 0.477 0.750 0.147

=====

Record 4
# La4Th3CrN8, relaxed, DFT PBE
# * formation energy (no corrections): -1.2219 eV/atom
# * magnetic moment: 6.33 μB/cell
data_La4Th3CrN8
_chemical_formula_sum 'La8 Th6 Cr2 N16'
_cell_length_a 12.827
_cell_length_b 7.181
_cell_length_c 7.244
_cell_angle_alpha 90.00
_cell_angle_beta 123.99
_cell_angle_gamma 90.00
_space_group_name_H-M_alt 'C 1 2/m 1'
_space_group_IT_number 12
loop_
_space_group_symop_operation_xyz
'x,y,z'
'-x,-y,-z'
'-x,y,-z'
'x,-y,z'
'x+1/2,y+1/2,z'
'-x+1/2,-y+1/2,-z'
'-x+1/2,y+1/2,-z'
'x+1/2,-y+1/2,z'
loop_
_atom_site_label
_atom_site_type_symbol
_atom_site_fract_x
_atom_site_fract_y
_atom_site_fract_z
La1 La 0.000 0.000 0.000
La2 La 0.000 0.500 0.000
La3 La 0.250 0.250 0.000
Th1 Th 0.000 0.000 0.500
Th2 Th 0.250 0.250 0.500
Cr1 Cr 0.000 0.500 0.500
N1 N 0.008 0.259 0.279
N2 N 0.231 0.000 0.247
N3 N 0.241 0.000 0.729

=====

Record 5
# LaTm2CrN4, relaxed, DFT PBE
# * formation energy (no corrections): -1.3341 eV/atom
# * magnetic moment: 7.04 μB/cell
data_LaTm2CrN4
_chemical_formula_sum 'La4 Tm8 Cr4 N16'
_cell_length_a 3.399
_cell_length_b 11.592
_cell_length_c 11.499
_cell_angle_alpha 90.00
_cell_angle_beta 90.00
_cell_angle_gamma 90.00
_space_group_name_H-M_alt 'C m c m'
_space_group_IT_number 63
_space_group_name_Hall '-C 2c 2'
loop_
_atom_site_label
_atom_site_type_symbol
_atom_site_fract_x
_atom_site_fract_y
_atom_site_fract_z
La1 La 0.000 0.092 0.250
Tm1 Tm 0.000 0.369 0.043
Cr1 Cr 0.000 0.169 0.750
N1 N 0.000 0.000 0.000
N2 N 0.000 0.262 0.623
N3 N 0.000 0.417 0.250

=====

Record 6
# LaUCrN3, relaxed, DFT PBE
# * formation energy (no corrections): -1.0526 eV/atom
# * magnetic moment: 0.42 μB/cell
data_LaUCrN3
_chemical_formula_sum 'La2 U2 Cr2 N6'
_cell_length_a 7.380
_cell_length_b 3.412
_cell_length_c 7.399
_cell_angle_alpha 90.00
_cell_angle_beta 104.98
_cell_angle_gamma 90.00
_space_group_name_H-M_alt 'P 1 21/m 1'
_space_group_IT_number 11
loop_
_space_group_symop_operation_xyz
'x,y,z'
'-x,-y,-z'
'-x,y+1/2,-z'
'x,-y+1/2,z'
loop_
_atom_site_label
_atom_site_type_symbol
_atom_site_fract_x
_atom_site_fract_y
_atom_site_fract_z
La1 La 0.184 0.250 0.214
U1 U 0.332 0.750 0.824
Cr1 Cr 0.088 0.250 0.585
N1 N 0.125 0.250 0.859
N2 N 0.186 0.750 0.478
N3 N 0.449 0.750 0.132

=====

Record 7
# La2VCr2N6, relaxed, DFT PBE
# * formation energy (no corrections): -0.8267 eV/atom
# * magnetic moment: 0.00 μB/cell
data_La2VCr2N6
_chemical_formula_sum 'La6 V3 Cr6 N18'
_cell_length_a 5.5724
_cell_length_b 5.5724
_cell_length_c 17.3928
_cell_angle_alpha 90.00
_cell_angle_beta 90.00
_cell_angle_gamma 120.00
_space_group_name_H-M_alt 'R -3 m'
_space_group_IT_number 166
_space_group_name_Hall '-R 3 2"'
loop_
_atom_site_label
_atom_site_type_symbol
_atom_site_fract_x
_atom_site_fract_y
_atom_site_fract_z
La1 La 0.0000 0.0000 0.2409
V1 V 0.0000 0.0000 0.5000
Cr1 Cr 0.0000 0.0000 0.0675
N1 N 0.0042 0.5021 0.2348

=====

Record 8
# LaY2CrN4, relaxed, DFT PBE
# * formation energy (no corrections): -1.2607 eV/atom
# * magnetic moment: 7.41 μB/cell
data_LaY2CrN4
_chemical_formula_sum 'La4 Y8 Cr4 N16'
_cell_length_a 3.439
_cell_length_b 11.705
_cell_length_c 11.679
_cell_angle_alpha 90.00
_cell_angle_beta 90.00
_cell_angle_gamma 90.00
_space_group_name_H-M_alt 'C m c m'
_space_group_IT_number 63
_space_group_name_Hall '-C 2c 2'
loop_
_atom_site_label
_atom_site_type_symbol
_atom_site_fract_x
_atom_site_fract_y
_atom_site_fract_z
La1 La 0.000 0.093 0.250
Y1 Y 0.000 0.369 0.044
Cr1 Cr 0.000 0.169 0.750
N1 N 0.000 0.000 0.000
N2 N 0.000 0.264 0.627
N3 N 0.000 0.417 0.250

=====

Number 7 is which compound? La2VCr2N6